1.
Material: RbCaSb2Te
Method: DFT, PBE
State: relaxed

## Properties
Spin magnetization in μB/f.u.: 0.00
Energy above the most stable polymorph in this dataset in meV/atom: 788
DFT total energy in eV per cell: -11.04

Cell: 5.9251 5.9251 6.1455 Å, 90.00 90.00 90.00°
Fractional coordinates of all 5 atoms:
Sb  0.0000  0.5000  0.0000
Sb  0.5000  0.0000  0.0000
Ca  0.5000  0.5000  0.5000
Te  0.0000  0.0000  0.5000
Rb  0.0000  0.0000  0.0000



2.
Material: Fe3Ni3Pt2
Method: DFT, PBE
State: relaxed

## Properties
Spin magnetization in μB/f.u.: 11.73
DFT total energy in eV per cell: -56.21
Energy of formation from the pure elements in eV per atom: -0.17

Cell: 3.6834 3.6997 7.4334 Å, 90.00 90.00 90.00°
Last column: magnetic moment on the atom in μB.
Fractional coordinates of all 8 atoms:
Fe  0.5000  0.0000  0.5000  2.85
Fe  0.0000  0.5000  0.0000  3.04
Fe  0.0000  0.5000  0.5000  2.92
Ni  0.5000  0.5000  0.7534  0.78
Ni  0.5000  0.5000  0.2466  0.78
Ni  0.5000  0.0000  0.0000  0.78
Pt  0.0000  0.0000  0.7510  0.38
Pt  0.0000  0.0000  0.2490  0.38